[1]
5
Lattice="-4.0260 -0.2048 1.0391 1.2930 -0.6367 4.8841 -0.0665 4.1253 0.5554" Properties=species:S:1:pos:R:3 comment="HfTaReB2 (PBE-GGA, optimized geometry)" e_form_ev_per_atom=2.3426 pbc="T T T"
Re -1.3998 1.6419 3.2393
B -0.0333 2.0626 0.2777
B -2.0130 -0.1024 0.5196
Hf 0.0000 0.0000 0.0000
Ta 0.6465 -0.3184 2.4421

[2]
16
Lattice="-4.2566 -0.0077 -0.8639 3.3537 -3.5070 -5.5752 -1.4273 -12.7240 7.1453" Properties=species:S:1:pos:R:3 comment="BaNaTb2Se4 (PBE-GGA, optimized geometry)" e_form_raw_ev_per_atom=-1.6821 pbc="T T T"
Ba -0.7589 -10.4354 3.8320
Ba -1.5712 -5.8032 -3.1257
Na -2.3381 -12.0126 0.7080
Na 0.0079 -4.2260 -0.0017
Tb 0.1317 -9.7069 -0.5628
Tb -1.9049 -1.5671 -1.5189
Tb -2.4618 -6.5317 1.2691
Tb -0.4252 -14.6716 2.2252
Se 0.4985 -3.2207 -2.4280
Se -2.4194 -9.3689 1.0852
Se -2.8287 -13.0179 3.1343
Se 0.0892 -6.8698 -0.3788
Se -0.7136 -6.3620 3.5727
Se 0.0000 0.0000 0.0000
Se 0.0496 -12.7517 -0.1312
Se -2.3797 -3.4869 0.8375

[3]
8
Lattice="1.7721 -3.3269 -4.7472 -0.3176 -3.1399 5.1753 -9.1125 1.4268 0.9857" Properties=species:S:1:pos:R:3 comment="PmSmTm6 (PBE-GGA, optimized geometry)" e_form_ev_per_atom=0.3730 polymorph_energy_mev_per_atom=346 pbc="T T T"
Pm -3.6702 -0.9500 -1.8807
Sm 0.0000 0.0000 0.0000
Tm -2.2275 -2.2015 0.9494
Tm -1.5249 -5.3254 1.1563
Tm -6.1331 0.2854 0.2576
Tm -5.4305 -2.8385 0.4644
Tm 0.4183 -3.4038 -1.3104
Tm -8.0763 -1.6361 2.7242

[4]
7
Lattice="-0.8508 0.1712 -4.2533 3.2538 -0.1201 -2.8709 0.3255 -7.7072 -2.5905" Properties=species:S:1:pos:R:3 comment="Li2PuGa2Ge2 (PBE-GGA, optimized geometry)" e_form_ev_per_atom=-0.3318 pbc="T T T"
Li 0.5311 -4.3669 -2.4972
Li 2.1974 -3.2892 -7.2175
Pu 0.0000 0.0000 0.0000
Ga 1.4488 -2.4546 -4.8190
Ga 1.2797 -5.2015 -4.8957
Ge 2.0297 -6.0122 -7.2936
Ge 0.6988 -1.6438 -2.4211